No. 1
A relaxed CaCu2Ag crystal. Source: Alexandria via LeMat-Bulk, functional PBE.

Calculated volume   18.36 A^3/atom
Calculated total energy   -3.18 eV per atom
D(E_F)   1.9 states/eV/f.u.
Polymorph energy (0 for the lowest one)   159.9 meV/atom
Formation enthalpy at 0 K   82 meV/atom
M_tot   0.00 μB per formula unit

a b c (Å): 6.1448 5.9516 4.0161
angles (deg): 90.00 90.32 90.00
Positions (direct):
Ca  0.0000  0.0000  0.0000
Ca  0.5000  0.5000  0.0000
Cu  0.2500  0.2500  0.5000
Cu  0.2500  0.7500  0.5000
Cu  0.7500  0.2500  0.5000
Cu  0.7500  0.7500  0.5000
Ag  0.0000  0.5000  0.0000
Ag  0.5000  0.0000  0.0000

No. 2
A relaxed CoBiRh2 crystal. Source: Alexandria via LeMat-Bulk, functional PBE.

Calculated volume   17.60 A^3/atom
Calculated total energy   -5.99 eV per atom
D(E_F)   6.9 states/eV/f.u.
Formation enthalpy at 0 K   432 meV/atom
M_tot   2.09 μB per formula unit

a b c (Å): 3.9578 3.9578 17.9737
angles (deg): 90.00 90.00 90.00
Positions (direct):
Co  0.0000  0.0000  0.0000
Co  0.0000  0.5000  0.2500
Co  0.5000  0.0000  0.7500
Co  0.5000  0.5000  0.5000
Bi  0.0000  0.0000  0.5000
Bi  0.0000  0.5000  0.7500
Bi  0.5000  0.0000  0.2500
Bi  0.5000  0.5000  0.0000
Rh  0.2093  0.2500  0.1250
Rh  0.2500  0.7093  0.3750
Rh  0.2500  0.7907  0.8750
Rh  0.2907  0.2500  0.6250
Rh  0.7093  0.7500  0.6250
Rh  0.7500  0.2093  0.8750
Rh  0.7500  0.2907  0.3750
Rh  0.7907  0.7500  0.1250

No. 3
A relaxed LiCdRu2 crystal. Source: Alexandria via LeMat-Bulk, functional PBE.

Calculated volume   15.87 A^3/atom
Calculated total energy   -5.04 eV per atom
D(E_F)   4.1 states/eV/f.u.
Formation enthalpy at 0 K   309 meV/atom
M_tot   0.89 μB per formula unit

a b c (Å): 2.8607 4.6930 9.4560
angles (deg): 90.00 90.00 90.00
Positions (direct):
Li  0.0000  0.0000  0.0000
Li  0.5000  0.5000  0.0000
Cd  0.0000  0.5000  0.7300
Cd  0.5000  0.0000  0.7300
Ru  0.0000  0.0000  0.4605
Ru  0.0000  0.5000  0.2353
Ru  0.5000  0.0000  0.2353
Ru  0.5000  0.5000  0.4605

No. 4
A relaxed NbCu3Cl crystal. Source: Alexandria via LeMat-Bulk, functional PBE.

Calculated volume   23.65 A^3/atom
Calculated total energy   -3.43 eV per atom
E_form (uncorrected)   7.1 eV/f.u.
D(E_F)   3.6 states/eV/f.u.
Polymorph energy (0 for the lowest one)   275.0 meV/atom
M_tot   0.00 μB per formula unit

a b c (Å): 4.9086 4.9086 4.9086
angles (deg): 90.00 90.00 90.00
Positions (direct):
Nb  0.0000  0.0000  0.0000
Cu  0.0000  0.0000  0.5000
Cu  0.0000  0.5000  0.0000
Cu  0.5000  0.0000  0.0000
Cl  0.5000  0.5000  0.5000

No. 5
A relaxed Ca2Pm3Pb3 crystal. Source: Alexandria via LeMat-Bulk, functional PBE.

Calculated volume   31.20 A^3/atom
Calculated total energy   -4.06 eV per atom
D(E_F)   6.0 states/eV/f.u.
Formation enthalpy at 0 K   -384 meV/atom
M_tot   1.79 μB per formula unit

a b c (Å): 4.4305 5.0763 22.1973
angles (deg): 90.00 90.00 90.00
Positions (direct):
Ca  0.0000  0.0000  0.2456
Ca  0.0000  0.0000  0.7544
Ca  0.5000  0.5000  0.2544
Ca  0.5000  0.5000  0.7456
Pm  0.0000  0.0000  0.0000
Pm  0.0000  0.5000  0.1169
Pm  0.0000  0.5000  0.8831
Pm  0.5000  0.0000  0.3831
Pm  0.5000  0.0000  0.6169
Pm  0.5000  0.5000  0.5000
Pb  0.0000  0.0000  0.5000
Pb  0.0000  0.5000  0.3641
Pb  0.0000  0.5000  0.6359
Pb  0.5000  0.0000  0.1359
Pb  0.5000  0.0000  0.8641
Pb  0.5000  0.5000  0.0000

No. 6
A relaxed BaAc2Sn crystal. Source: Alexandria via LeMat-Bulk, functional PBE.

Calculated volume   43.72 A^3/atom
Calculated total energy   -3.79 eV per atom
D(E_F)   5.9 states/eV/f.u.
Polymorph energy (0 for the lowest one)   67.5 meV/atom
Formation enthalpy at 0 K   -252 meV/atom
M_tot   0.00 μB per formula unit

a b c (Å): 4.3118 4.3118 9.4066
angles (deg): 90.00 90.00 90.00
Positions (direct):
Ba  0.0000  0.0000  0.0000
Ac  0.5000  0.5000  0.3171
Ac  0.5000  0.5000  0.6829
Sn  0.0000  0.0000  0.5000